This record from Alexandria describes crystalline Pt2RhSe at its relaxed geometry. The functional is PBE.

density of states at the Fermi level	1.70	states/eV/atom
formation energy (no corrections)	0.25	eV per atom

Structure (POSCAR):
```
Pt2RhSe
1.0
-3.9497 2.2200 -2.0155
-2.8184 -3.2258 -2.4983
1.9143 -0.0079 4.5745
Pt Se Rh
2 1 1
direct
0.0000 0.0000 0.0000 Pt
0.5000 0.5000 0.0000 Pt
0.7500 0.2500 0.5000 Se
0.2500 0.7500 0.5000 Rh
```



This record from Alexandria describes crystalline PtRhSe2 at its relaxed geometry. The functional is PBE.

density of states at the Fermi level	1.27	states/eV/atom
formation energy (no corrections)	0.49	eV per atom

Structure (POSCAR):
```
PtRhSe2
1.0
-1.2165 3.0699 3.1865
-4.0291 2.1721 -0.3266
-3.3765 -0.9720 2.9517
Se Rh Pt
2 1 1
direct
0.2500 0.2500 0.2500 Se
0.0000 0.0000 0.0000 Se
0.7500 0.7500 0.7500 Rh
0.5000 0.5000 0.5000 Pt
```



This record from Alexandria describes crystalline PtRh2Se at its relaxed geometry. The functional is PBE.

density of states at the Fermi level	1.51	states/eV/atom
formation energy (no corrections)	0.18	eV per atom

Structure (POSCAR):
```
PtRh2Se
1.0
-0.6761 5.0884 7.1527
-3.3372 5.4191 6.0833
-2.7261 3.1476 7.7570
Rh Pt Se
2 1 1
direct
0.9976 0.9976 0.9976 Rh
0.2462 0.2462 0.2462 Rh
0.7502 0.7502 0.7502 Pt
0.5059 0.5059 0.5059 Se
```



This record from Alexandria describes crystalline Pt2RhSe at its relaxed geometry. The functional is PBE.

density of states at the Fermi level	0.92	states/eV/atom
formation energy (no corrections)	0.21	eV per atom

Structure (POSCAR):
```
Pt2RhSe
1.0
2.8109 -0.0010 0.0000
-1.4075 2.4332 0.0000
0.0000 0.0000 9.4287
Se Pt Rh
1 2 1
direct
0.5000 0.5000 0.7323 Se
0.0000 0.0000 0.0026 Pt
0.5000 0.5000 0.2584 Pt
0.0000 0.0000 0.5067 Rh
```



This record from Alexandria describes crystalline Pt3Rh2Se10 at its relaxed geometry. The functional is PBE.

density of states at the Fermi level	0.37	states/eV/atom
formation energy (no corrections)	-0.39	eV per atom

Structure (POSCAR):
```
Pt3Rh2Se10
1.0
-2.3144 -0.7423 -2.8632
2.3724 -2.6391 1.2297
-18.3123 -8.5339 17.0150
Se Rh Pt
10 2 3
direct
0.3333 0.6667 0.2620 Se
0.3333 0.6667 0.0495 Se
0.6667 0.3333 0.1630 Se
0.3333 0.6667 0.4528 Se
0.6667 0.3333 0.7380 Se
0.6667 0.3333 0.5472 Se
0.3333 0.6667 0.6429 Se
0.6667 0.3333 0.9505 Se
0.6667 0.3333 0.3571 Se
0.3333 0.6667 0.8370 Se
0.0000 0.0000 0.5961 Rh
0.0000 0.0000 0.4039 Rh
0.0000 0.0000 0.2124 Pt
0.0000 0.0000 0.0000 Pt
0.0000 0.0000 0.7876 Pt
```



This record from Alexandria describes crystalline PtRhSe2 at its relaxed geometry. The functional is PBE.

density of states at the Fermi level	1.28	states/eV/atom
formation energy (no corrections)	-0.09	eV per atom

Structure (POSCAR):
```
PtRhSe2
1.0
2.0754 0.0000 7.4788
-1.0377 1.7974 7.4788
-1.0377 -1.7974 7.4788
Rh Se Pt
1 2 1
direct
0.5000 0.5000 0.5000 Rh
0.1058 0.1058 0.1058 Se
0.8942 0.8942 0.8942 Se
0.0000 0.0000 0.0000 Pt
```



This record from Alexandria describes crystalline PtRh2Se at its relaxed geometry. The functional is PBE.

density of states at the Fermi level	1.02	states/eV/atom
formation energy (no corrections)	0.25	eV per atom

Structure (POSCAR):
```
PtRh2Se
1.0
-1.8933 -0.3151 2.0595
2.7208 -0.5150 0.5073
1.1860 8.6423 2.4126
Pt Rh Se
1 2 1
direct
0.5000 0.5000 0.7500 Pt
0.0000 0.0000 0.0087 Rh
0.0000 0.0000 0.4913 Rh
0.5000 0.5000 0.2500 Se
```



This record from Alexandria describes crystalline PtRhSe2 at its relaxed geometry. The functional is PBE.

density of states at the Fermi level	0.81	states/eV/atom
formation energy (no corrections)	0.24	eV per atom

Structure (POSCAR):
```
PtRhSe2
1.0
-0.2963 5.0797 1.3654
-3.2518 1.3050 3.9342
3.7911 -3.5551 -0.8623
Pt Se Rh
1 2 1
direct
0.5000 0.5000 0.0000 Pt
0.0000 0.0000 0.0000 Se
0.2500 0.7500 0.5000 Se
0.7500 0.2500 0.5000 Rh
```